# Sb2PPb2

Crystalline Sb2PPb2 at its relaxed geometry (GGA-PBE, the Alexandria database).

Values from the calculation:
* energy relative to the lowest polymorph listed for this composition: 0.406 eV/f.u.
* formation energy from raw total energies: 0.37 eV/atom
* size of the total moment: 0.000 μB/atom

Geometry as extended XYZ:
```
5
Lattice="-3.090 3.090 4.123 3.090 -3.090 4.123 3.090 3.090 -4.123" Properties=species:S:1:pos:R:3 pbc="T T T"
Sb 0.000 0.000 1.472
Sb 0.000 0.000 6.774
P 0.000 0.000 4.123
Pb 3.090 0.000 2.061
Pb 0.000 3.090 2.061
```

# Sb2PPb

Crystalline Sb2PPb at its relaxed geometry (GGA-PBE, the Alexandria database).

Values from the calculation:
* energy relative to the lowest polymorph listed for this composition: 1.020 eV/f.u.
* formation energy from raw total energies: 0.34 eV/atom
* size of the total moment: 0.000 μB/atom

Geometry as extended XYZ:
```
4
Lattice="1.807 -2.881 0.000 1.807 2.881 0.000 0.000 0.000 9.978" Properties=species:S:1:pos:R:3 pbc="T T T"
Sb 0.000 0.000 2.037
Sb 0.000 0.000 7.942
P 1.807 0.000 0.000
Pb 1.807 0.000 4.989
```

# Sb2PPb

Crystalline Sb2PPb at its relaxed geometry (GGA-PBE, the Alexandria database).

Values from the calculation:
* energy relative to the lowest polymorph listed for this composition: 1.484 eV/f.u.
* formation energy from raw total energies: 0.45 eV/atom
* size of the total moment: 0.000 μB/atom

Geometry as extended XYZ:
```
4
Lattice="0.000 3.711 3.711 3.711 0.000 3.711 3.711 3.711 0.000" Properties=species:S:1:pos:R:3 pbc="T T T"
Sb 1.855 1.855 1.855
Sb 5.566 5.566 5.566
P 0.000 0.000 0.000
Pb 3.711 3.711 3.711
```

# Sc2SbPPb

Crystalline Sc2SbPPb at its relaxed geometry (GGA-PBE, the Alexandria database).

Values from the calculation:
* formation energy from raw total energies: -0.31 eV/atom
* size of the total moment: 0.000 μB/atom

Geometry as extended XYZ:
```
5
Lattice="4.968 0.000 0.000 0.000 4.968 0.000 0.000 0.000 5.297" Properties=species:S:1:pos:R:3 pbc="T T T"
Sc 0.000 2.484 0.000
Sc 2.484 0.000 0.000
Sb 0.000 0.000 2.648
P 0.000 0.000 0.000
Pb 2.484 2.484 2.648
```

# SbPPb2Se

Crystalline SbPPb2Se at its relaxed geometry (GGA-PBE, the Alexandria database).

Values from the calculation:
* formation energy from raw total energies: 0.47 eV/atom
* size of the total moment: 0.074 μB/atom

Geometry as extended XYZ:
```
5
Lattice="5.772 0.000 0.000 0.000 5.772 0.000 0.000 0.000 4.881" Properties=species:S:1:pos:R:3 pbc="T T T"
Sb 0.000 0.000 0.000
P 2.886 2.886 0.000
Pb 0.000 2.886 2.441
Pb 2.886 0.000 2.441
Se 2.886 2.886 2.441
```

# TaSbP2Pb

Crystalline TaSbP2Pb at its relaxed geometry (GGA-PBE, the Alexandria database).

Values from the calculation:
* formation energy from raw total energies: 1.82 eV/atom
* size of the total moment: 0.000 μB/atom

Geometry as extended XYZ:
```
5
Lattice="5.072 0.000 0.000 0.000 5.072 0.000 0.000 0.000 5.433" Properties=species:S:1:pos:R:3 pbc="T T T"
Ta 0.000 0.000 0.000
Sb 2.536 2.536 0.000
P 0.000 2.536 2.717
P 2.536 0.000 2.717
Pb 0.000 0.000 2.717
```

# TcSbPPb2

Crystalline TcSbPPb2 at its relaxed geometry (GGA-PBE, the Alexandria database).

Values from the calculation:
* formation energy from raw total energies: 1.37 eV/atom
* size of the total moment: 0.700 μB/atom

Geometry as extended XYZ:
```
5
Lattice="5.842 0.000 0.000 0.000 5.842 0.000 0.000 0.000 5.052" Properties=species:S:1:pos:R:3 pbc="T T T"
Tc 0.000 0.000 0.000
Sb 0.000 0.000 2.526
P 2.921 2.921 0.000
Pb 0.000 2.921 2.526
Pb 2.921 0.000 2.526
```

# SbTe2PPb

Crystalline SbTe2PPb at its relaxed geometry (GGA-PBE, the Alexandria database).

Values from the calculation:
* energy relative to the lowest polymorph listed for this composition: 4.665 eV/f.u.
* formation energy from raw total energies: 1.22 eV/atom
* size of the total moment: 0.151 μB/atom

Geometry as extended XYZ:
```
5
Lattice="5.885 0.000 0.000 0.000 5.885 0.000 0.000 0.000 6.061" Properties=species:S:1:pos:R:3 pbc="T T T"
Sb 0.000 0.000 0.000
Te 0.000 2.942 3.030
Te 2.942 0.000 3.030
P 2.942 2.942 0.000
Pb 0.000 0.000 3.030
```

# SbTe2PPb

Crystalline SbTe2PPb at its relaxed geometry (GGA-PBE, the Alexandria database).

Values from the calculation:
* energy relative to the lowest polymorph listed for this composition: 0.000 eV/f.u.
* formation energy from raw total energies: 0.29 eV/atom
* size of the total moment: 0.000 μB/atom

Geometry as extended XYZ:
```
5
Lattice="5.421 0.000 0.000 0.000 5.421 0.000 0.000 0.000 5.090" Properties=species:S:1:pos:R:3 pbc="T T T"
Sb 0.000 0.000 0.000
Te 0.000 2.711 2.545
Te 2.711 0.000 2.545
P 0.000 0.000 2.545
Pb 2.711 2.711 0.000
```

# Th4Sb2PPb

Crystalline Th4Sb2PPb at its relaxed geometry (GGA-PBE, the Alexandria database).

Values from the calculation:
* formation energy from raw total energies: -0.87 eV/atom
* size of the total moment: 0.000 μB/atom

Geometry as extended XYZ:
```
8
Lattice="7.709 0.000 0.000 0.000 4.403 0.000 -2.519 0.000 7.297" Properties=species:S:1:pos:R:3 pbc="T T T"
Th 1.179 0.000 1.638
Th -0.089 2.202 5.584
Th 5.280 2.202 1.713
Th 4.011 0.000 5.659
Sb 3.855 0.000 0.000
Sb 2.595 2.202 3.648
P 0.000 2.202 0.000
Pb -1.259 0.000 3.648
```

# TlSbP2Pb

Crystalline TlSbP2Pb at its relaxed geometry (GGA-PBE, the Alexandria database).

Values from the calculation:
* formation energy from raw total energies: 0.74 eV/atom
* size of the total moment: 0.000 μB/atom

Geometry as extended XYZ:
```
5
Lattice="5.145 0.000 0.000 0.000 5.145 0.000 0.000 0.000 5.707" Properties=species:S:1:pos:R:3 pbc="T T T"
Tl 0.000 0.000 0.000
Sb 0.000 0.000 2.853
P 0.000 2.572 2.853
P 2.572 0.000 2.853
Pb 2.572 2.572 0.000
```

# ScP2Pb

Crystalline ScP2Pb at its relaxed geometry (GGA-PBE, the Alexandria database).

Values from the calculation:
* size of the total moment: 0.000 μB/atom
* formation energy: -10.1 kcal/mol of atoms

Geometry as extended XYZ:
```
4
Lattice="3.866 0.000 0.000 0.000 1.819 6.382 0.000 -1.819 6.382" Properties=species:S:1:pos:R:3 pbc="T T T"
Sc 0.000 0.000 0.000
P 0.000 0.000 8.430
P 1.933 0.000 5.801
Pb 1.933 0.000 3.066
```

# ScP2Pb

Crystalline ScP2Pb at its relaxed geometry (GGA-PBE, the Alexandria database).

Values from the calculation:
* size of the total moment: 0.000 μB/atom
* formation energy: -4.4 kcal/mol of atoms

Geometry as extended XYZ:
```
4
Lattice="-2.617 2.617 2.956 2.617 -2.617 2.956 2.617 2.617 -2.956" Properties=species:S:1:pos:R:3 pbc="T T T"
Sc 0.000 0.000 0.000
P 2.617 0.000 1.478
P 0.000 2.617 1.478
Pb 0.000 0.000 2.956
```

# ScP2Pb

Crystalline ScP2Pb at its relaxed geometry (GGA-PBE, the Alexandria database).

Values from the calculation:
* size of the total moment: 0.000 μB/atom
* formation energy: -12.0 kcal/mol of atoms

Geometry as extended XYZ:
```
4
Lattice="1.951 1.126 6.739 -1.951 1.126 6.739 0.000 -2.252 6.739" Properties=species:S:1:pos:R:3 pbc="T T T"
Sc 0.000 0.000 0.000
P 0.000 0.000 5.307
P 0.000 0.000 14.911
Pb 0.000 0.000 10.109
```

# ScPPb2

Crystalline ScPPb2 at its relaxed geometry (GGA-PBE, the Alexandria database).

Values from the calculation:
* size of the total moment: 0.000 μB/atom
* formation energy: 1.5 kcal/mol of atoms

Geometry as extended XYZ:
```
4
Lattice="0.000 3.661 3.661 3.661 0.000 3.661 3.661 3.661 0.000" Properties=species:S:1:pos:R:3 pbc="T T T"
Sc 0.000 0.000 0.000
P 5.492 5.492 5.492
Pb 1.831 1.831 1.831
Pb 3.661 3.661 3.661
```

# ScP2Pb

Crystalline ScP2Pb at its relaxed geometry (GGA-PBE, the Alexandria database).

Values from the calculation:
* size of the total moment: 0.000 μB/atom
* formation energy: -4.9 kcal/mol of atoms

Geometry as extended XYZ:
```
4
Lattice="-1.974 1.974 5.238 1.974 -1.974 5.238 1.974 1.974 -5.238" Properties=species:S:1:pos:R:3 pbc="T T T"
Sc 0.000 0.000 0.000
P 1.974 0.000 2.619
P 0.000 0.000 5.238
Pb 0.000 1.974 2.619
```

# ScPPb2

Crystalline ScPPb2 at its relaxed geometry (GGA-PBE, the Alexandria database).

Values from the calculation:
* size of the total moment: 0.000 μB/atom
* formation energy: 2.7 kcal/mol of atoms

Geometry as extended XYZ:
```
4
Lattice="1.900 1.097 8.087 -1.900 1.097 8.087 0.000 -2.194 8.087" Properties=species:S:1:pos:R:3 pbc="T T T"
Sc 0.000 0.000 0.000
P 0.000 0.000 12.130
Pb 0.000 0.000 5.812
Pb 0.000 0.000 18.448
```

# ScPPb2

Crystalline ScPPb2 at its relaxed geometry (GGA-PBE, the Alexandria database).

Values from the calculation:
* size of the total moment: 0.000 μB/atom
* formation energy: -1.2 kcal/mol of atoms

Geometry as extended XYZ:
```
4
Lattice="-2.172 2.172 5.086 2.172 -2.172 5.086 2.172 2.172 -5.086" Properties=species:S:1:pos:R:3 pbc="T T T"
Sc 0.000 0.000 0.000
P 2.172 0.000 2.543
Pb 0.000 0.000 5.086
Pb 0.000 2.172 2.543
```

# ScPPb2

Crystalline ScPPb2 at its relaxed geometry (GGA-PBE, the Alexandria database).

Values from the calculation:
* size of the total moment: 0.000 μB/atom
* formation energy: -10.3 kcal/mol of atoms

Geometry as extended XYZ:
```
4
Lattice="8.155 -1.834 0.000 8.155 1.834 0.000 -0.705 0.000 3.544" Properties=species:S:1:pos:R:3 pbc="T T T"
Sc 0.000 0.000 0.000
P 7.802 0.000 1.772
Pb 2.403 0.000 2.384
Pb 13.201 0.000 1.161
```

# ScPPb2

Crystalline ScPPb2 at its relaxed geometry (GGA-PBE, the Alexandria database).

Values from the calculation:
* size of the total moment: 0.000 μB/atom
* formation energy: -8.3 kcal/mol of atoms

Geometry as extended XYZ:
```
4
Lattice="1.926 1.112 8.263 -1.926 1.112 8.263 0.000 -2.223 8.263" Properties=species:S:1:pos:R:3 pbc="T T T"
Sc 0.000 0.000 0.000
P 0.000 0.000 6.958
Pb 0.000 0.000 13.293
Pb 0.000 0.000 18.909
```

# Sc4PPb

Crystalline Sc4PPb at its relaxed geometry (GGA-PBE, the Alexandria database).

Values from the calculation:
* energy relative to the lowest polymorph listed for this composition: 0.000 eV/f.u.
* size of the total moment: 0.001 μB/atom
* formation energy: -12.9 kcal/mol of atoms

Geometry as extended XYZ:
```
12
Lattice="7.351 -2.885 0.000 7.351 2.885 0.000 -1.884 0.000 6.603" Properties=species:S:1:pos:R:3 pbc="T T T"
Sc 0.456 0.492 2.880
Sc -0.486 -0.492 6.181
Sc 3.110 0.538 5.656
Sc 4.052 -0.538 2.354
Sc 8.765 0.538 4.249
Sc 9.707 -0.538 0.947
Sc 13.303 0.492 0.422
Sc 12.361 -0.492 3.723
P 2.733 1.442 3.301
P 3.675 -1.442 0.000
Pb 6.880 0.660 1.651
Pb 5.938 -0.660 4.952
```

# ScPPb2

Crystalline ScPPb2 at its relaxed geometry (GGA-PBE, the Alexandria database).

Values from the calculation:
* size of the total moment: 0.000 μB/atom
* formation energy: -4.9 kcal/mol of atoms

Geometry as extended XYZ:
```
4
Lattice="-1.784 2.566 5.387 1.784 -2.566 5.387 1.784 2.566 -5.387" Properties=species:S:1:pos:R:3 pbc="T T T"
Sc 0.000 0.000 0.000
P 1.784 0.000 1.855
Pb 0.000 0.000 4.645
Pb 0.000 2.566 2.307
```

# ScPPb3

Crystalline ScPPb3 at its relaxed geometry (GGA-PBE, the Alexandria database).

Values from the calculation:
* energy relative to the lowest polymorph listed for this composition: 0.000 eV/f.u.
* size of the total moment: 0.000 μB/atom
* formation energy: 11.2 kcal/mol of atoms

Geometry as extended XYZ:
```
5
Lattice="5.390 0.000 0.000 0.000 5.390 0.000 0.000 0.000 5.390" Properties=species:S:1:pos:R:3 pbc="T T T"
Sc 0.000 0.000 0.000
P 2.695 2.695 2.695
Pb 0.000 2.695 2.695
Pb 2.695 0.000 2.695
Pb 2.695 2.695 0.000
```

# ScP2Pb

Crystalline ScP2Pb at its relaxed geometry (GGA-PBE, the Alexandria database).

Values from the calculation:
* size of the total moment: 0.000 μB/atom
* formation energy: -5.0 kcal/mol of atoms

Geometry as extended XYZ:
```
4
Lattice="3.074 -3.601 0.000 3.074 3.601 0.000 -0.053 0.000 3.626" Properties=species:S:1:pos:R:3 pbc="T T T"
Sc 0.000 0.000 0.000
P 1.510 1.801 1.813
P 1.510 -1.801 1.813
Pb 3.074 0.000 0.000
```

# ScP2Pb

Crystalline ScP2Pb at its relaxed geometry (GGA-PBE, the Alexandria database).

Values from the calculation:
* size of the total moment: 0.000 μB/atom
* formation energy: -4.7 kcal/mol of atoms

Geometry as extended XYZ:
```
4
Lattice="4.753 0.000 0.000 0.000 4.753 0.000 0.000 0.000 3.543" Properties=species:S:1:pos:R:3 pbc="T T T"
Sc 0.000 0.000 0.000
P 0.000 2.377 1.771
P 2.377 0.000 1.771
Pb 2.377 2.377 0.000
```

# ScPPb2

Crystalline ScPPb2 at its relaxed geometry (GGA-PBE, the Alexandria database).

Values from the calculation:
* size of the total moment: 0.000 μB/atom
* formation energy: -11.1 kcal/mol of atoms

Geometry as extended XYZ:
```
4
Lattice="3.556 0.000 0.000 0.000 3.608 0.000 -1.748 0.000 8.082" Properties=species:S:1:pos:R:3 pbc="T T T"
Sc 0.000 0.000 0.000
P 1.779 1.804 0.547
Pb 0.025 1.804 5.616
Pb 1.778 0.000 3.030
```

# Sc4PPb

Crystalline Sc4PPb at its relaxed geometry (GGA-PBE, the Alexandria database).

Values from the calculation:
* energy relative to the lowest polymorph listed for this composition: 4.217 eV/f.u.
* size of the total moment: 0.000 μB/atom
* formation energy: 3.3 kcal/mol of atoms

Geometry as extended XYZ:
```
6
Lattice="0.000 4.079 4.079 4.079 0.000 4.079 4.079 4.079 0.000" Properties=species:S:1:pos:R:3 pbc="T T T"
Sc 1.021 1.021 1.021
Sc 3.058 3.058 1.021
Sc 3.058 1.021 3.058
Sc 1.021 3.058 3.058
P 6.119 6.119 6.119
Pb 4.079 4.079 4.079
```

# ScP2Pb

Crystalline ScP2Pb at its relaxed geometry (GGA-PBE, the Alexandria database).

Values from the calculation:
* size of the total moment: 0.000 μB/atom
* formation energy: -7.9 kcal/mol of atoms

Geometry as extended XYZ:
```
4
Lattice="4.603 -1.653 0.000 4.603 1.653 0.000 -2.086 0.000 5.772" Properties=species:S:1:pos:R:3 pbc="T T T"
Sc 0.000 0.000 0.000
P 0.556 0.000 5.011
P 6.563 0.000 0.761
Pb 3.560 0.000 2.886
```

# ScPPb2

Crystalline ScPPb2 at its relaxed geometry (GGA-PBE, the Alexandria database).

Values from the calculation:
* size of the total moment: 0.000 μB/atom
* formation energy: 5.0 kcal/mol of atoms

Geometry as extended XYZ:
```
4
Lattice="1.951 -2.820 0.000 1.951 2.820 0.000 0.000 0.000 9.018" Properties=species:S:1:pos:R:3 pbc="T T T"
Sc 0.000 0.000 0.000
P 0.000 0.000 4.509
Pb 1.951 0.000 2.414
Pb 1.951 0.000 6.604
```